Record 1
As4RuPb: relaxed, GGA-PBE.

E_form = 4.07 eV per formula unit
crystal system = cubic

Cell: 5.6146 5.6146 5.6146 Å, 60.00 60.00 60.00°
Element x y z (fractional)
As 0.3728 0.3728 0.8816
As 0.3728 0.8816 0.3728
As 0.3728 0.3728 0.3728
As 0.8816 0.3728 0.3728
Pb 0.7500 0.7500 0.7500
Ru 0.0000 0.0000 0.0000

=====

Record 2
CrIn2SnBr6: relaxed, GGA-PBE.

energy relative to the elements, uncorrected = -0.6480 eV per atom
crystal system = trigonal

Cell: 7.8630 7.8646 7.7172 Å, 59.35 59.36 59.99°
Element x y z (fractional)
Cr 0.3161 0.3162 0.0516
Br 0.4772 0.6243 0.8056
Br 0.5397 0.1550 0.2972
Br 0.6244 0.0927 0.8056
Br 0.0927 0.4771 0.8058
Br 0.0078 0.5397 0.2974
Br 0.1549 0.0081 0.2976
Sn 0.8162 0.8162 0.5516
In 0.0978 0.0976 0.7073
In 0.5348 0.5348 0.3955

=====

Record 3
Tb3Pa2Co3: relaxed, GGA-PBE.

E_form = -1.70 eV per formula unit
crystal system = orthorhombic

Cell: 7.9948 6.1978 14.0940 Å, 90.00 90.00 90.00°
Element x y z (fractional)
Pa 0.1183 0.8201 0.9192
Pa 0.6183 0.6799 0.0808
Pa 0.8817 0.1799 0.0808
Pa 0.3817 0.3201 0.9192
Pa 0.1183 0.8201 0.5808
Pa 0.6183 0.6799 0.4192
Pa 0.8817 0.1799 0.4192
Pa 0.3817 0.3201 0.5808
Tb 0.7861 0.4998 0.6288
Tb 0.7139 0.9998 0.6288
Tb 0.4001 0.7483 0.7500
Tb 0.7861 0.4998 0.8712
Tb 0.7139 0.9998 0.8712
Tb 0.9001 0.7517 0.2500
Tb 0.0999 0.2483 0.7500
Tb 0.2139 0.5002 0.3712
Tb 0.5999 0.2517 0.2500
Tb 0.2139 0.5002 0.1288
Tb 0.2861 0.0002 0.1288
Tb 0.2861 0.0002 0.3712
Co 0.0862 0.2899 0.5403
Co 0.9702 0.2315 0.2500
Co 0.9138 0.7101 0.0403
Co 0.4702 0.2685 0.7500
Co 0.0298 0.7685 0.7500
Co 0.4138 0.7899 0.5403
Co 0.5298 0.7315 0.2500
Co 0.9138 0.7101 0.4597
Co 0.4138 0.7899 0.9597
Co 0.5862 0.2101 0.0403
Co 0.5862 0.2101 0.4597
Co 0.0862 0.2899 0.9597

=====

Record 4
Ba4PdICl2: relaxed, GGA-PBE.

energy relative to the elements, uncorrected = -1.3464 eV per atom
crystal system = monoclinic

Cell: 4.5946 8.0572 8.6912 Å, 72.30 90.00 90.00°
Element x y z (fractional)
Cl 0.0000 0.0000 0.0000
Cl 0.5000 0.0000 0.5000
Ba 0.0000 0.7573 0.7187
Ba 0.0000 0.2427 0.2813
Ba 0.5000 0.2614 0.7198
Ba 0.5000 0.7386 0.2802
I 0.5000 0.5000 0.0000
Pd 0.0000 0.5000 0.5000

=====

Record 5
Sr2ZnMo: relaxed, GGA-PBE.

E_form = 3.17 eV per formula unit
crystal system = tetragonal

Cell: 5.8828 5.8828 5.8828 Å, 131.64 131.64 70.81°
Element x y z (fractional)
Zn 0.5000 0.5000 0.0000
Mo 0.7500 0.2500 0.5000
Sr 0.0000 0.0000 0.0000
Sr 0.2500 0.7500 0.5000

=====

Record 6
Mn2ZnC: relaxed, GGA-PBE.

distance to the lowest polymorph of the same formula = 0.3806 eV/atom
E_form = 1.37 eV per formula unit
crystal system = tetragonal

Cell: 6.0142 6.0142 4.9803 Å, 52.86 52.86 90.00°
Element x y z (fractional)
Mn 0.3750 0.4659 0.7500
Mn 0.5341 0.1250 0.2500
Mn 0.2159 0.6250 0.2500
Mn 0.8750 0.7841 0.7500
Zn 0.0000 0.0000 0.0000
Zn 0.7500 0.2500 0.5000
C 0.2500 0.7500 0.5000
C 0.5000 0.5000 0.0000

=====

Record 7
Y2OsW: relaxed, GGA-PBE.

distance to the lowest polymorph of the same formula = 0.2220 eV/atom
E_form = 1.08 eV per formula unit
crystal system = monoclinic

Cell: 4.2657 3.2779 6.7557 Å, 75.13 90.00 90.00°
Element x y z (fractional)
Os 0.0000 0.5880 0.5376
Y 0.5000 0.2692 0.3060
Y 0.0000 0.9852 0.9447
W 0.5000 0.6576 0.7116

=====

Record 8
K2Rb2Ca: relaxed, GGA-PBE.

distance to the lowest polymorph of the same formula = 0.0000 eV/atom
E_form = 0.97 eV per formula unit
crystal system = tetragonal

Cell: 12.0779 12.0779 4.8299 Å, 90.00 90.00 90.00°
Element x y z (fractional)
K 0.6300 0.1300 0.0000
K 0.3700 0.8700 0.0000
K 0.1300 0.3700 0.0000
K 0.8700 0.6300 0.0000
Rb 0.1744 0.6744 0.5000
Rb 0.6744 0.8256 0.5000
Rb 0.3256 0.1744 0.5000
Rb 0.8256 0.3256 0.5000
Ca 0.0000 0.0000 0.0000
Ca 0.5000 0.5000 0.0000

=====

Record 9
Cd3In4Sn2: relaxed, GGA-PBE.

E_form = 0.37 eV per formula unit
crystal system = trigonal

Cell: 3.3495 3.3495 24.3468 Å, 90.00 90.00 120.00°
Element x y z (fractional)
Sn 0.3333 0.6667 0.9098
Sn 0.3333 0.6667 0.1242
In 0.3333 0.6667 0.5698
In 0.0000 0.0000 0.2398
In 0.3333 0.6667 0.7823
In 0.0000 0.0000 0.4553
Cd 0.0000 0.0000 0.6772
Cd 0.3333 0.6667 0.3474
Cd 0.0000 0.0000 0.0169

=====

Record 10
RbCu2AgBr4: relaxed, GGA-PBE.

energy relative to the elements, uncorrected = -0.6589 eV per atom
crystal system = orthorhombic

Cell: 7.0598 7.0325 7.0325 Å, 73.57 59.87 59.87°
Element x y z (fractional)
Br 0.5742 0.5065 0.8460
Br 0.0733 0.8460 0.5065
Br 0.9267 0.4935 0.1540
Br 0.4258 0.1540 0.4935
Cu 0.8504 0.6496 0.6496
Cu 0.1496 0.3504 0.3504
Ag 0.5000 0.5000 0.5000
Rb 0.0000 0.0000 0.0000

=====

Record 11
Li2CaTbTl4: relaxed, GGA-PBE.

E_form = -2.56 eV per formula unit
crystal system = trigonal

Cell: 5.2197 5.2197 9.0408 Å, 73.22 73.22 60.00°
Element x y z (fractional)
Li 0.7499 0.7499 0.7502
Li 0.2501 0.2501 0.2498
Tl 0.3751 0.3751 0.8746
Tl 0.1258 0.1258 0.6226
Tl 0.8742 0.8742 0.3774
Tl 0.6249 0.6249 0.1254
Tb 0.5000 0.5000 0.5000
Ca 0.0000 0.0000 0.0000

=====

Record 12
Pu4HgGePd2: relaxed, GGA-PBE.

E_form = -2.40 eV per formula unit
crystal system = trigonal

Cell: 5.0789 5.0789 8.8484 Å, 73.32 73.32 60.00°
Element x y z (fractional)
Pu 0.8650 0.8650 0.4051
Pu 0.1350 0.1350 0.5949
Pu 0.6158 0.6158 0.1527
Pu 0.3842 0.3842 0.8473
Ge 0.5000 0.5000 0.5000
Pd 0.2643 0.2643 0.2070
Pd 0.7357 0.7357 0.7930
Hg 0.0000 0.0000 0.0000

=====

Record 13
ErNp2In9: relaxed, GGA-PBE.

E_form = -1.60 eV per formula unit
crystal system = tetragonal

Cell: 4.6300 4.6300 13.9276 Å, 90.00 90.00 90.00°
Element x y z (fractional)
Np 0.0000 0.0000 0.6686
Np 0.0000 0.0000 0.3314
In 0.5000 0.5000 0.0000
In 0.5000 0.0000 0.8341
In 0.0000 0.5000 0.1659
In 0.5000 0.0000 0.5000
In 0.0000 0.5000 0.5000
In 0.5000 0.0000 0.1659
In 0.5000 0.5000 0.3339
In 0.5000 0.5000 0.6661
In 0.0000 0.5000 0.8341
Er 0.0000 0.0000 0.0000

=====

Record 14
Tb3Dy6Er2Pu: relaxed, GGA-PBE.

E_form = 0.50 eV per formula unit
crystal system = monoclinic

Cell: 6.1120 6.1120 11.6697 Å, 95.02 95.02 120.01°
Element x y z (fractional)
Dy 0.4120 0.0823 0.2471
Dy 0.2475 0.2475 0.7529
Dy 0.7525 0.7525 0.2471
Dy 0.0823 0.4120 0.2471
Dy 0.5880 0.9177 0.7529
Dy 0.9177 0.5880 0.7529
Tb 0.5000 0.5000 0.5000
Tb 0.8328 0.1672 0.5000
Tb 0.1672 0.8328 0.5000
Er 0.3334 0.6666 0.0000
Er 0.6666 0.3334 0.0000
Pu 0.0000 0.0000 0.0000

=====

Record 15
NdY5Ho4: relaxed, GGA-PBE.

E_form = 3.04 eV per formula unit
crystal system = tetragonal

Cell: 6.3159 7.8919 7.8919 Å, 80.79 66.41 66.41°
Element x y z (fractional)
Ho 0.4018 0.4021 0.6997
Ho 0.8040 0.6997 0.5979
Ho 0.1016 0.3003 0.4021
Ho 0.5037 0.5979 0.3003
Nd 0.2217 0.0000 0.0000
Y 0.0961 0.6192 0.0893
Y 0.8046 0.3808 0.9107
Y 0.7153 0.0893 0.3808
Y 0.1854 0.9107 0.6192
Y 0.6761 0.0000 0.0000

=====

Record 16
Tm8Al2Pd: relaxed, GGA-PBE.

E_form = -3.14 eV per formula unit
crystal system = monoclinic

Cell: 4.9562 6.5427 9.4237 Å, 101.38 105.25 90.00°
Element x y z (fractional)
Al 0.8108 0.2437 0.6216
Al 0.1892 0.7563 0.3784
Tm 0.3490 0.0217 0.6980
Tm 0.5933 0.4627 0.1866
Tm 0.2106 0.3086 0.4212
Tm 0.9782 0.2284 0.9563
Tm 0.4067 0.5373 0.8134
Tm 0.7894 0.6914 0.5788
Tm 0.0218 0.7716 0.0437
Tm 0.6510 0.9783 0.3020
Pd 0.5000 0.0000 0.0000

=====

Record 17
KTc2Rh: relaxed, GGA-PBE.

distance to the lowest polymorph of the same formula = 0.0000 eV/atom
E_form = 2.25 eV per formula unit
crystal system = trigonal

Cell: 10.2128 10.2128 10.2128 Å, 15.88 15.88 15.88°
Element x y z (fractional)
Tc 0.2649 0.2649 0.2649
Tc 0.9998 0.9998 0.9998
Rh 0.7379 0.7379 0.7379
K 0.4974 0.4974 0.4974

=====

Record 18
FeGeS2N: relaxed, GGA-PBE.

energy relative to the elements, uncorrected = 0.3209 eV per atom
crystal system = tetragonal

Cell: 4.6615 4.6615 3.4026 Å, 90.00 90.00 90.00°
Element x y z (fractional)
Fe 0.0000 0.0000 0.0000
N 0.0000 0.0000 0.5000
S 0.5000 0.0000 0.0000
S 0.0000 0.5000 0.0000
Ge 0.5000 0.5000 0.5000

=====

Record 19
LiAl2Ni6: relaxed, GGA-PBE.

E_form = -1.26 eV per formula unit
crystal system = monoclinic

Cell: 2.5694 6.8649 7.1705 Å, 118.60 99.98 90.00°
Element x y z (fractional)
Ni 0.1628 0.9635 0.3285
Ni 0.5000 0.6871 0.0000
Ni 0.5000 0.3129 0.0000
Ni 0.8372 0.6350 0.6715
Ni 0.8372 0.0365 0.6715
Ni 0.1628 0.3650 0.3285
Al 0.3329 0.3294 0.6588
Al 0.6671 0.6706 0.3412
Li 0.0000 0.0000 0.0000

=====

Record 20
V2Ru4W: relaxed, GGA-PBE.

distance to the lowest polymorph of the same formula = 1.3180 eV/atom
E_form = 8.77 eV per formula unit
crystal system = tetragonal

Cell: 4.6559 4.6559 6.8410 Å, 70.11 70.11 90.00°
Element x y z (fractional)
Ru 0.0000 0.5000 0.0000
Ru 0.5000 0.0000 0.0000
Ru 0.2103 0.2103 0.5795
Ru 0.7897 0.7897 0.4205
V 0.3823 0.3823 0.2354
V 0.6177 0.6177 0.7646
W 0.0000 0.0000 0.0000

=====

Record 21
H3ClF: relaxed, GGA-PBE.

distance to the lowest polymorph of the same formula = 0.4005 eV/atom
crystal system = cubic

Cell: 3.3883 3.3883 3.3883 Å, 90.00 90.00 90.00°
Element x y z (fractional)
H 0.0000 0.0000 0.5000
H 0.0000 0.5000 0.0000
H 0.5000 0.0000 0.0000
Cl 0.5000 0.5000 0.5000
F 0.0000 0.0000 0.0000

=====

Record 22
Tb3Pm4Dy2: relaxed, GGA-PBE.

distance to the lowest polymorph of the same formula = 0.0409 eV/atom
E_form = 0.49 eV per formula unit
crystal system = monoclinic

Cell: 7.0693 12.1005 12.1005 Å, 47.99 54.22 54.22°
Element x y z (fractional)
Pm 0.1563 0.8240 0.5199
Pm 0.9748 0.1782 0.8473
Pm 0.3437 0.4801 0.1760
Pm 0.6563 0.5199 0.8240
Pm 0.8437 0.1760 0.4801
Pm 0.0252 0.8218 0.1527
Pm 0.4748 0.8473 0.1782
Pm 0.5252 0.1527 0.8218
Dy 0.8225 0.5214 0.1562
Dy 0.3225 0.1562 0.5214
Dy 0.6775 0.8438 0.4786
Dy 0.1775 0.4786 0.8438
Tb 0.7500 0.4998 0.5002
Tb 0.4097 0.1703 0.1700
Tb 0.5903 0.8297 0.8300
Tb 0.9097 0.1700 0.1703
Tb 0.2500 0.5002 0.4998
Tb 0.0903 0.8300 0.8297

=====

Record 23
Ca2TlW: relaxed, GGA-PBE.

distance to the lowest polymorph of the same formula = 0.2909 eV/atom
E_form = 3.12 eV per formula unit
crystal system = monoclinic

Cell: 5.5805 5.5805 5.8529 Å, 80.79 80.79 33.14°
Element x y z (fractional)
Ca 0.9945 0.9945 0.0120
Ca 0.5055 0.5055 0.4880
Tl 0.7500 0.7500 0.7500
W 0.2500 0.2500 0.2500

=====

| no. | DOS(E_F) (states/eV/cell) | ρ (g/cm3) |
| --- | --- | --- |
| 1 | 3.46 | 8.1 |
| 2 | 3.80 | 4.4 |
| 3 | 31.11 | 10.6 |
| 4 | 6.81 | 4.6 |
| 5 | 4.50 | 5.0 |
| 6 | 2.24 | 6.6 |
| 7 | 1.04 | 10.0 |
| 8 | 8.94 | 1.4 |
| 9 | 3.39 | 7.3 |
| 10 | 0.00 | 4.1 |
| 11 | 3.26 | 8.5 |
| 12 | 31.99 | 13.0 |
| 13 | 23.38 | 9.3 |
| 14 | 23.94 | 9.1 |
| 15 | 15.74 | 6.3 |
| 16 | 11.60 | 8.7 |
| 17 | 4.31 | 8.1 |
| 18 | 4.61 | 4.6 |
| 19 | 8.63 | 6.3 |
| 20 | 8.90 | 8.8 |
| 21 | 0.64 | 2.5 |
| 22 | 26.80 | 7.8 |
| 23 | 3.99 | 7.9 |